A plane-wave DFT calculation with PBE was carried out for a relaxed structure of Tl3Au.

Total energy   -10.07 eV/cell
Crystal system   cubic
Space group   Fm-3m
Formation energy from the elements   0.08 eV per atom
Volume   110 Å³ per cell

abc: 5.372 5.372 5.372
angles: 60.00 60.00 60.00
Sites, in units of the cell vectors:
Tl 0.250 0.250 0.250
Tl 0.750 0.750 0.750
Tl 0.000 0.000 0.000
Au 0.500 0.500 0.500